Record 1
Crystalline LaMgRe2 at its relaxed geometry, computed with GGA-PBEsol.

Results
The formation energy comes out at 785 meV per atom.

```
data_LaMgRe2
_chemical_formula_sum 'La2 Mg2 Re4'
_cell_length_a 5.8801
_cell_length_b 9.4625
_cell_length_c 2.6719
_cell_angle_alpha 90.00
_cell_angle_beta 90.00
_cell_angle_gamma 90.00
_symmetry_space_group_name_H-M 'C m m m'
_symmetry_Int_Tables_number 65
_symmetry_space_group_name_Hall '-C 2 2'
loop_
_atom_site_label
_atom_site_type_symbol
_atom_site_fract_x
_atom_site_fract_y
_atom_site_fract_z
_atom_site_occupancy
La1 La 0.0000 0.0000 0.0000 1
Mg1 Mg 0.0000 0.5000 0.0000 1
Re1 Re 0.2500 0.2500 0.5000 1
```



Record 2
Crystalline LaMgRe2 at its relaxed geometry, computed with GGA-PBEsol.

Results
The formation energy comes out at 714 meV per atom.

```
data_LaMgRe2
_chemical_formula_sum 'La3 Mg3 Re6'
_cell_length_a 2.8412
_cell_length_b 2.8412
_cell_length_c 30.9615
_cell_angle_alpha 90.00
_cell_angle_beta 90.00
_cell_angle_gamma 120.00
_symmetry_space_group_name_H-M 'R -3 m'
_symmetry_Int_Tables_number 166
_symmetry_space_group_name_Hall '-R 3 2"'
loop_
_atom_site_label
_atom_site_type_symbol
_atom_site_fract_x
_atom_site_fract_y
_atom_site_fract_z
_atom_site_occupancy
La1 La 0.0000 0.0000 0.0000 1
Mg1 Mg 0.0000 0.0000 0.5000 1
Re1 Re 0.0000 0.0000 0.2418 1
```



Record 3
Crystalline LaMgRh2 at its relaxed geometry, computed with GGA-PBEsol.

Results
The formation energy comes out at -355 meV per atom.

```
data_LaMgRh2
_chemical_formula_sum 'La2 Mg2 Rh4'
_cell_length_a 3.9243
_cell_length_b 3.9243
_cell_length_c 9.5271
_cell_angle_alpha 90.00
_cell_angle_beta 90.00
_cell_angle_gamma 90.00
_symmetry_space_group_name_H-M 'I -4 m 2'
_symmetry_Int_Tables_number 119
_symmetry_space_group_name_Hall 'I -4 -2'
loop_
_atom_site_label
_atom_site_type_symbol
_atom_site_fract_x
_atom_site_fract_y
_atom_site_fract_z
_atom_site_occupancy
La1 La 0.0000 0.0000 0.0000 1
Mg1 Mg 0.0000 0.5000 0.2500 1
Rh1 Rh 0.0000 0.0000 0.5000 1
Rh2 Rh 0.0000 0.5000 0.7500 1
```



Record 4
Crystalline LaMg2Rh at its relaxed geometry, computed with GGA-PBEsol.

Results
The formation energy comes out at -40 meV per atom.

```
data_LaMg2Rh
_chemical_formula_sum 'La3 Mg6 Rh3'
_cell_length_a 3.1348
_cell_length_b 3.1348
_cell_length_c 30.0047
_cell_angle_alpha 90.00
_cell_angle_beta 90.00
_cell_angle_gamma 120.00
_symmetry_space_group_name_H-M 'R -3 m'
_symmetry_Int_Tables_number 166
_symmetry_space_group_name_Hall '-R 3 2"'
loop_
_atom_site_label
_atom_site_type_symbol
_atom_site_fract_x
_atom_site_fract_y
_atom_site_fract_z
_atom_site_occupancy
La1 La 0.0000 0.0000 0.0000 1
Mg1 Mg 0.0000 0.0000 0.2310 1
Rh1 Rh 0.0000 0.0000 0.5000 1
```



Record 5
Crystalline La2MgRh at its relaxed geometry, computed with GGA-PBEsol.

Results
The formation energy comes out at -354 meV per atom.

```
data_La2MgRh
_chemical_formula_sum 'La2 Mg1 Rh1'
_cell_length_a 3.9934
_cell_length_b 3.8018
_cell_length_c 6.9994
_cell_angle_alpha 90.00
_cell_angle_beta 99.07
_cell_angle_gamma 90.00
_symmetry_space_group_name_H-M 'P 1 2/m 1'
_symmetry_Int_Tables_number 10
loop_
_symmetry_equiv_pos_as_xyz
'x,y,z'
'-x,-y,-z'
'-x,y,-z'
'x,-y,z'
loop_
_atom_site_label
_atom_site_type_symbol
_atom_site_fract_x
_atom_site_fract_y
_atom_site_fract_z
_atom_site_occupancy
La1 La 0.0935 0.0000 0.2893 1
Mg1 Mg 0.5000 0.5000 0.0000 1
Rh1 Rh 0.5000 0.5000 0.5000 1
```



Record 6
Crystalline LaMgRh2 at its relaxed geometry, computed with GGA-PBEsol.

Results
The formation energy comes out at -68 meV per atom.

```
data_LaMgRh2
_chemical_formula_sum 'La4 Mg4 Rh8'
_cell_length_a 6.6754
_cell_length_b 6.6754
_cell_length_c 6.6754
_cell_angle_alpha 90.00
_cell_angle_beta 90.00
_cell_angle_gamma 90.00
_symmetry_space_group_name_H-M 'F -4 3 m'
_symmetry_Int_Tables_number 216
_symmetry_space_group_name_Hall 'F -4 2 3'
loop_
_atom_site_label
_atom_site_type_symbol
_atom_site_fract_x
_atom_site_fract_y
_atom_site_fract_z
_atom_site_occupancy
La1 La 0.0000 0.0000 0.0000 1
Mg1 Mg 0.2500 0.2500 0.7500 1
Rh1 Rh 0.0000 0.0000 0.5000 1
Rh2 Rh 0.2500 0.2500 0.2500 1
```



Record 7
Crystalline La3MgRu at its relaxed geometry, computed with GGA-PBEsol.

Results
The formation energy comes out at -106 meV per atom.

```
data_La3MgRu
_chemical_formula_sum 'La3 Mg1 Ru1'
_cell_length_a 5.4536
_cell_length_b 5.4536
_cell_length_c 5.4536
_cell_angle_alpha 90.00
_cell_angle_beta 90.00
_cell_angle_gamma 90.00
_symmetry_space_group_name_H-M 'P m -3 m'
_symmetry_Int_Tables_number 221
_symmetry_space_group_name_Hall '-P 4 2 3'
loop_
_atom_site_label
_atom_site_type_symbol
_atom_site_fract_x
_atom_site_fract_y
_atom_site_fract_z
_atom_site_occupancy
La1 La 0.0000 0.0000 0.5000 1
Mg1 Mg 0.5000 0.5000 0.5000 1
Ru1 Ru 0.0000 0.0000 0.0000 1
```



Record 8
Crystalline LaMgRu2 at its relaxed geometry, computed with GGA-PBEsol.

Results
The formation energy comes out at 168 meV per atom.

```
data_LaMgRu2
_chemical_formula_sum 'La1 Mg1 Ru2'
_cell_length_a 4.6095
_cell_length_b 4.6095
_cell_length_c 3.3454
_cell_angle_alpha 90.00
_cell_angle_beta 90.00
_cell_angle_gamma 90.00
_symmetry_space_group_name_H-M 'P 4/m m m'
_symmetry_Int_Tables_number 123
_symmetry_space_group_name_Hall '-P 4 2'
loop_
_atom_site_label
_atom_site_type_symbol
_atom_site_fract_x
_atom_site_fract_y
_atom_site_fract_z
_atom_site_occupancy
La1 La 0.0000 0.0000 0.0000 1
Mg1 Mg 0.5000 0.5000 0.0000 1
Ru1 Ru 0.0000 0.5000 0.5000 1
```



Record 9
Crystalline LaMgRu2 at its relaxed geometry, computed with GGA-PBEsol.

Results
The formation energy comes out at 172 meV per atom.

```
data_LaMgRu2
_chemical_formula_sum 'La2 Mg2 Ru4'
_cell_length_a 3.0919
_cell_length_b 4.7426
_cell_length_c 10.1751
_cell_angle_alpha 90.00
_cell_angle_beta 90.00
_cell_angle_gamma 90.00
_symmetry_space_group_name_H-M 'I m m 2'
_symmetry_Int_Tables_number 44
loop_
_symmetry_equiv_pos_as_xyz
'x,y,z'
'-x,-y,z'
'-x,y,z'
'x,-y,z'
'x+1/2,y+1/2,z+1/2'
'-x+1/2,-y+1/2,z+1/2'
'-x+1/2,y+1/2,z+1/2'
'x+1/2,-y+1/2,z+1/2'
loop_
_atom_site_label
_atom_site_type_symbol
_atom_site_fract_x
_atom_site_fract_y
_atom_site_fract_z
_atom_site_occupancy
La1 La 0.0000 0.0000 0.0000 1
Mg1 Mg 0.0000 0.5000 0.7866 1
Ru1 Ru 0.0000 0.0000 0.5312 1
Ru2 Ru 0.0000 0.5000 0.2357 1
```



Record 10
Crystalline La2MgRu2 at its relaxed geometry, computed with GGA-PBEsol.

Results
The formation energy comes out at -43 meV per atom.

```
data_La2MgRu2
_chemical_formula_sum 'La4 Mg2 Ru4'
_cell_length_a 7.3347
_cell_length_b 7.3347
_cell_length_c 4.1034
_cell_angle_alpha 90.00
_cell_angle_beta 90.00
_cell_angle_gamma 90.00
_symmetry_space_group_name_H-M 'P 4/m b m'
_symmetry_Int_Tables_number 127
_symmetry_space_group_name_Hall '-P 4 2ab'
loop_
_atom_site_label
_atom_site_type_symbol
_atom_site_fract_x
_atom_site_fract_y
_atom_site_fract_z
_atom_site_occupancy
La1 La 0.1705 0.3295 0.0000 1
Mg1 Mg 0.0000 0.0000 0.5000 1
Ru1 Ru 0.1339 0.6339 0.5000 1
```



Record 11
Crystalline LaMgRu2 at its relaxed geometry, computed with GGA-PBEsol.

Results
The formation energy comes out at 253 meV per atom.

```
data_LaMgRu2
_chemical_formula_sum 'La2 Mg2 Ru4'
_cell_length_a 6.0786
_cell_length_b 8.7072
_cell_length_c 2.9553
_cell_angle_alpha 90.00
_cell_angle_beta 115.88
_cell_angle_gamma 90.00
_symmetry_space_group_name_H-M 'C 1 2/m 1'
_symmetry_Int_Tables_number 12
loop_
_symmetry_equiv_pos_as_xyz
'x,y,z'
'-x,-y,-z'
'-x,y,-z'
'x,-y,z'
'x+1/2,y+1/2,z'
'-x+1/2,-y+1/2,-z'
'-x+1/2,y+1/2,-z'
'x+1/2,-y+1/2,z'
loop_
_atom_site_label
_atom_site_type_symbol
_atom_site_fract_x
_atom_site_fract_y
_atom_site_fract_z
_atom_site_occupancy
La1 La 0.0000 0.0000 0.0000 1
Mg1 Mg 0.0000 0.5000 0.0000 1
Ru1 Ru 0.2500 0.2500 0.5000 1
```



Record 12
Crystalline SrLa2MgS at its relaxed geometry, computed with GGA-PBEsol.

Results
The formation energy from raw total energies comes out at -0.57 eV/atom.

```
data_SrLa2MgS
_chemical_formula_sum 'Sr1 La2 Mg1 S1'
_cell_length_a 5.6028
_cell_length_b 5.6028
_cell_length_c 5.1769
_cell_angle_alpha 90.00
_cell_angle_beta 90.00
_cell_angle_gamma 90.00
_symmetry_space_group_name_H-M 'P 4/m m m'
_symmetry_Int_Tables_number 123
_symmetry_space_group_name_Hall '-P 4 2'
loop_
_atom_site_label
_atom_site_type_symbol
_atom_site_fract_x
_atom_site_fract_y
_atom_site_fract_z
_atom_site_occupancy
Sr1 Sr 0.0000 0.0000 0.0000 1
La1 La 0.0000 0.5000 0.5000 1
Mg1 Mg 0.5000 0.5000 0.0000 1
S1 S 0.5000 0.5000 0.5000 1
```



Record 13
Crystalline La2MgSb at its relaxed geometry, computed with GGA-PBEsol.

Results
The formation energy from raw total energies comes out at -0.58 eV/atom.

```
data_La2MgSb
_chemical_formula_sum 'La4 Mg2 Sb2'
_cell_length_a 4.2056
_cell_length_b 5.0800
_cell_length_c 10.6959
_cell_angle_alpha 90.00
_cell_angle_beta 90.00
_cell_angle_gamma 90.00
_symmetry_space_group_name_H-M 'I m m 2'
_symmetry_Int_Tables_number 44
loop_
_symmetry_equiv_pos_as_xyz
'x,y,z'
'-x,-y,z'
'-x,y,z'
'x,-y,z'
'x+1/2,y+1/2,z+1/2'
'-x+1/2,-y+1/2,z+1/2'
'-x+1/2,y+1/2,z+1/2'
'x+1/2,-y+1/2,z+1/2'
loop_
_atom_site_label
_atom_site_type_symbol
_atom_site_fract_x
_atom_site_fract_y
_atom_site_fract_z
_atom_site_occupancy
La1 La 0.0000 0.0000 0.0000 1
La2 La 0.0000 0.5000 0.2322 1
Mg1 Mg 0.0000 0.5000 0.7732 1
Sb1 Sb 0.0000 0.0000 0.4739 1
```



Record 14
Crystalline La2MgSb2 at its relaxed geometry, computed with GGA-PBEsol.

Results
The formation energy from raw total energies comes out at -0.96 eV/atom.

```
data_La2MgSb2
_chemical_formula_sum 'La4 Mg2 Sb4'
_cell_length_a 8.2063
_cell_length_b 8.2063
_cell_length_c 4.3459
_cell_angle_alpha 90.00
_cell_angle_beta 90.00
_cell_angle_gamma 90.00
_symmetry_space_group_name_H-M 'P 4/m b m'
_symmetry_Int_Tables_number 127
_symmetry_space_group_name_Hall '-P 4 2ab'
loop_
_atom_site_label
_atom_site_type_symbol
_atom_site_fract_x
_atom_site_fract_y
_atom_site_fract_z
_atom_site_occupancy
La1 La 0.1530 0.3470 0.0000 1
Mg1 Mg 0.0000 0.0000 0.5000 1
Sb1 Sb 0.1541 0.6541 0.5000 1
```



Record 15
Crystalline LaMgSb2 at its relaxed geometry, computed with GGA-PBEsol.

Results
The formation energy from raw total energies comes out at -0.22 eV/atom.

```
data_LaMgSb2
_chemical_formula_sum 'La1 Mg1 Sb2'
_cell_length_a 3.3529
_cell_length_b 3.3529
_cell_length_c 9.7657
_cell_angle_alpha 90.00
_cell_angle_beta 90.00
_cell_angle_gamma 90.00
_symmetry_space_group_name_H-M 'P 4 m m'
_symmetry_Int_Tables_number 99
loop_
_symmetry_equiv_pos_as_xyz
'x,y,z'
'-y,x,z'
'-x,-y,z'
'y,-x,z'
'-x,y,z'
'y,x,z'
'x,-y,z'
'-y,-x,z'
loop_
_atom_site_label
_atom_site_type_symbol
_atom_site_fract_x
_atom_site_fract_y
_atom_site_fract_z
_atom_site_occupancy
La1 La 0.0000 0.0000 0.0000 1
Mg1 Mg 0.5000 0.5000 0.2722 1
Sb1 Sb 0.0000 0.0000 0.4703 1
Sb2 Sb 0.5000 0.5000 0.7619 1
```



Record 16
Crystalline LaMgSb2 at its relaxed geometry, computed with GGA-PBEsol.

Results
The formation energy from raw total energies comes out at -0.67 eV/atom.

```
data_LaMgSb2
_chemical_formula_sum 'La2 Mg2 Sb4'
_cell_length_a 8.2844
_cell_length_b 5.1213
_cell_length_c 5.9970
_cell_angle_alpha 90.00
_cell_angle_beta 121.53
_cell_angle_gamma 90.00
_symmetry_space_group_name_H-M 'C 1 2/m 1'
_symmetry_Int_Tables_number 12
loop_
_symmetry_equiv_pos_as_xyz
'x,y,z'
'-x,-y,-z'
'-x,y,-z'
'x,-y,z'
'x+1/2,y+1/2,z'
'-x+1/2,-y+1/2,-z'
'-x+1/2,y+1/2,-z'
'x+1/2,-y+1/2,z'
loop_
_atom_site_label
_atom_site_type_symbol
_atom_site_fract_x
_atom_site_fract_y
_atom_site_fract_z
_atom_site_occupancy
La1 La 0.0000 0.0000 0.0000 1
Mg1 Mg 0.0000 0.5000 0.5000 1
Sb1 Sb 0.2297 0.0000 0.6970 1
```



Record 17
Crystalline LaMgSb2 at its relaxed geometry, computed with GGA-PBEsol.

Results
The formation energy from raw total energies comes out at -0.65 eV/atom.

```
data_LaMgSb2
_chemical_formula_sum 'La1 Mg1 Sb2'
_cell_length_a 5.5175
_cell_length_b 5.5187
_cell_length_c 3.5696
_cell_angle_alpha 90.00
_cell_angle_beta 90.00
_cell_angle_gamma 90.00
_symmetry_space_group_name_H-M 'P m m 2'
_symmetry_Int_Tables_number 25
loop_
_symmetry_equiv_pos_as_xyz
'x,y,z'
'-x,-y,z'
'-x,y,z'
'x,-y,z'
loop_
_atom_site_label
_atom_site_type_symbol
_atom_site_fract_x
_atom_site_fract_y
_atom_site_fract_z
_atom_site_occupancy
La1 La 0.0000 0.0000 0.0000 1
Mg1 Mg 0.5000 0.5000 0.0022 1
Sb1 Sb 0.0000 0.5000 0.5631 1
Sb2 Sb 0.5000 0.0000 0.4375 1
```



Record 18
Crystalline LaMg2Sb2 at its relaxed geometry, computed with GGA-PBEsol.

Results
The formation energy from raw total energies comes out at -0.64 eV/atom.

```
data_LaMg2Sb2
_chemical_formula_sum 'La2 Mg4 Sb4'
_cell_length_a 4.2997
_cell_length_b 4.2997
_cell_length_c 14.1783
_cell_angle_alpha 90.00
_cell_angle_beta 90.00
_cell_angle_gamma 90.00
_symmetry_space_group_name_H-M 'I 4/m m m'
_symmetry_Int_Tables_number 139
_symmetry_space_group_name_Hall '-I 4 2'
loop_
_atom_site_label
_atom_site_type_symbol
_atom_site_fract_x
_atom_site_fract_y
_atom_site_fract_z
_atom_site_occupancy
La1 La 0.0000 0.0000 0.0000 1
Mg1 Mg 0.0000 0.5000 0.2500 1
Sb1 Sb 0.0000 0.0000 0.3862 1
```



Record 19
Crystalline La2YMgSb at its relaxed geometry, computed with GGA-PBEsol.

Results
The formation energy from raw total energies comes out at 0.39 eV/atom.

```
data_La2YMgSb
_chemical_formula_sum 'La2 Y1 Mg1 Sb1'
_cell_length_a 5.6553
_cell_length_b 5.6553
_cell_length_c 5.1825
_cell_angle_alpha 90.00
_cell_angle_beta 90.00
_cell_angle_gamma 90.00
_symmetry_space_group_name_H-M 'P 4/m m m'
_symmetry_Int_Tables_number 123
_symmetry_space_group_name_Hall '-P 4 2'
loop_
_atom_site_label
_atom_site_type_symbol
_atom_site_fract_x
_atom_site_fract_y
_atom_site_fract_z
_atom_site_occupancy
La1 La 0.0000 0.5000 0.0000 1
Y1 Y 0.0000 0.0000 0.5000 1
Mg1 Mg 0.5000 0.5000 0.0000 1
Sb1 Sb 0.5000 0.5000 0.5000 1
```



Record 20
Crystalline LaMg2Sc2 at its relaxed geometry, computed with GGA-PBEsol.

Results
The formation energy comes out at 36 meV per atom.

```
data_LaMg2Sc2
_chemical_formula_sum 'La2 Mg4 Sc4'
_cell_length_a 8.7613
_cell_length_b 8.7613
_cell_length_c 3.3158
_cell_angle_alpha 90.00
_cell_angle_beta 90.00
_cell_angle_gamma 90.00
_symmetry_space_group_name_H-M 'P 4/m b m'
_symmetry_Int_Tables_number 127
_symmetry_space_group_name_Hall '-P 4 2ab'
loop_
_atom_site_label
_atom_site_type_symbol
_atom_site_fract_x
_atom_site_fract_y
_atom_site_fract_z
_atom_site_occupancy
La1 La 0.0000 0.0000 0.0000 1
Mg1 Mg 0.1688 0.3312 0.5000 1
Sc1 Sc 0.1263 0.6263 0.0000 1
```



E_tot across the listed records, respectively: -7.65, -7.72, -6.19, -4.27, -5.49, -5.90, -5.69, -6.68, -6.68, -6.59, -6.60, -4.29, -4.82, -5.26, -4.26, -4.71, -4.69, -4.22, -4.37, -4.36 eV per atom.